Model A:
Entry from the Alexandria database: a geometry-optimized TbTmTlRh structure (PBE). Values from VASP.

Properties
Size of the total moment ... 0.000 μB per atom
Crystal system ... tetragonal

```
&SYSTEM
  ibrav = 0, nat = 4, ntyp = 4
/
ATOMIC_SPECIES
Rh 102.91 Rh.upf
Tm 168.93 Tm.upf
Tl 204.38 Tl.upf
Tb 158.93 Tb.upf
ATOMIC_POSITIONS angstrom
Rh 0.0000 0.0000 4.2840
Tm 1.7557 1.7557 2.7253
Tl 0.0000 0.0000 0.5893
Tb 1.7557 1.7557 5.9932
CELL_PARAMETERS angstrom
3.5115 0.0000 0.0000
0.0000 3.5115 0.0000
0.0000 0.0000 7.6157
```

Model B:
Entry from the Alexandria database: a geometry-optimized TbTmTlRh structure (PBE). Values from VASP.

Properties
Size of the total moment ... 0.000 μB per atom
Crystal system ... cubic

```
&SYSTEM
  ibrav = 0, nat = 4, ntyp = 4
/
ATOMIC_SPECIES
Tm 168.93 Tm.upf
Tl 204.38 Tl.upf
Rh 102.91 Rh.upf
Tb 158.93 Tb.upf
ATOMIC_POSITIONS angstrom
Tm -9.1513 -0.4140 1.9002
Tl 0.0000 0.0000 0.0000
Rh -6.1008 -0.2760 1.2668
Tb -3.0504 -0.1380 0.6334
CELL_PARAMETERS angstrom
-4.5916 -1.1349 -1.8878
-3.5331 -2.1154 2.9961
-4.0770 2.6983 1.4253
```

Ranking the structures above by energy, model A is first and the second is 0.124 eV/atom behind.